1.
# Mo2AsBr PBE relaxed
data_Mo2AsBr
_cell_length_a 3.0971
_cell_length_b 3.0971
_cell_length_c 29.1063
_cell_angle_alpha 90.00
_cell_angle_beta 90.00
_cell_angle_gamma 120.00
_space_group_name_H-M_alt 'R 3 m'
_space_group_IT_number 160
_space_group_name_Hall 'R 3 -2"'
loop_
_atom_site_label
_atom_site_type_symbol
_atom_site_fract_x
_atom_site_fract_y
_atom_site_fract_z
Mo1 Mo 0.0000 0.0000 0.0000
Mo2 Mo 0.0000 0.0000 0.2608
As1 As 0.0000 0.0000 0.5285
Br1 Br 0.0000 0.0000 0.7336
# Final energy (eV for the cell shown): -82.14
# V (Å³ per atom): 20.15
# DOS at the Fermi energy (states/eV/f.u.): 5.216
# Formation energy (no corrections) (eV/atom): 0.151
# ΔE to the lowest computed polymorph (eV/f.u.): 0.07
# Total magnetization (μB per atom): 0.000

***

2.
# FeCuAs2Br PBE relaxed
data_FeCuAs2Br
_cell_length_a 4.4228
_cell_length_b 4.4228
_cell_length_c 5.3437
_cell_angle_alpha 90.00
_cell_angle_beta 90.00
_cell_angle_gamma 90.00
_space_group_name_H-M_alt 'P 4/m m m'
_space_group_IT_number 123
_space_group_name_Hall '-P 4 2'
loop_
_atom_site_label
_atom_site_type_symbol
_atom_site_fract_x
_atom_site_fract_y
_atom_site_fract_z
Fe1 Fe 0.0000 0.0000 0.0000
Cu1 Cu 0.5000 0.5000 0.5000
As1 As 0.0000 0.5000 0.0000
Br1 Br 0.0000 0.0000 0.5000
# Final energy (eV for the cell shown): -20.77
# V (Å³ per atom): 20.91
# DOS at the Fermi energy (states/eV/f.u.): 2.985
# Formation energy (no corrections) (eV/atom): 0.552
# ΔE to the lowest computed polymorph (eV/f.u.): 0.00
# Total magnetization (μB per atom): 0.001

***

3.
# TmInAu3 PBE relaxed
data_TmInAu3
_cell_length_a 4.7418
_cell_length_b 7.4281
_cell_length_c 6.5909
_cell_angle_alpha 90.00
_cell_angle_beta 110.66
_cell_angle_gamma 90.00
_space_group_name_H-M_alt 'P 1 21/m 1'
_space_group_IT_number 11
_space_group_name_Hall '-P 2yb'
loop_
_atom_site_label
_atom_site_type_symbol
_atom_site_fract_x
_atom_site_fract_y
_atom_site_fract_z
Tm1 Tm 0.1388 0.2500 0.2731
In1 In 0.1381 0.7500 0.2839
Au1 Au 0.3236 0.5068 0.6500
Au2 Au 0.4999 0.2500 0.9908
# Final energy (eV for the cell shown): -39.42
# V (Å³ per atom): 21.72
# DOS at the Fermi energy (states/eV/f.u.): 2.161
# Energy relative to the elements (eV per atom): -0.533
# Total magnetization (μB per atom): 0.000

***

4.
# CaPuTcN3 PBE relaxed
data_CaPuTcN3
_cell_length_a 6.3260
_cell_length_b 3.4490
_cell_length_c 8.8222
_cell_angle_alpha 90.00
_cell_angle_beta 98.66
_cell_angle_gamma 90.00
_space_group_name_H-M_alt 'P 1 21/m 1'
_space_group_IT_number 11
_space_group_name_Hall '-P 2yb'
loop_
_atom_site_label
_atom_site_type_symbol
_atom_site_fract_x
_atom_site_fract_y
_atom_site_fract_z
Ca1 Ca 0.2262 0.2500 0.2308
Pu1 Pu 0.3260 0.2500 0.8631
Tc1 Tc 0.1284 0.7500 0.5694
N1 N 0.0011 0.2500 0.6598
N2 N 0.3191 0.7500 0.0358
N3 N 0.3933 0.7500 0.7083
# Final energy (eV for the cell shown): -112.14
# V (Å³ per atom): 15.86
# DOS at the Fermi energy (states/eV/f.u.): 7.498
# Formation energy (no corrections) (eV/atom): -0.732
# Total magnetization (μB per atom): 0.692

***

5.
# RbCdIn2W PBE relaxed
data_RbCdIn2W
_cell_length_a 5.4198
_cell_length_b 5.4198
_cell_length_c 6.5727
_cell_angle_alpha 90.00
_cell_angle_beta 90.00
_cell_angle_gamma 90.00
_space_group_name_H-M_alt 'P 4/m m m'
_space_group_IT_number 123
_space_group_name_Hall '-P 4 2'
loop_
_atom_site_label
_atom_site_type_symbol
_atom_site_fract_x
_atom_site_fract_y
_atom_site_fract_z
Rb1 Rb 0.0000 0.0000 0.0000
Cd1 Cd 0.5000 0.5000 0.0000
In1 In 0.0000 0.5000 0.5000
W1 W 0.0000 0.0000 0.5000
# Final energy (eV for the cell shown): -15.45
# V (Å³ per atom): 38.61
# DOS at the Fermi energy (states/eV/f.u.): 3.917
# Energy relative to the elements (eV per atom): 0.973
# Total magnetization (μB per atom): 0.499

***

6.
# Mg2ScAg PBE relaxed
data_Mg2ScAg
_cell_length_a 3.9550
_cell_length_b 4.4546
_cell_length_c 4.7473
_cell_angle_alpha 90.00
_cell_angle_beta 90.00
_cell_angle_gamma 90.00
_space_group_name_H-M_alt 'P m m m'
_space_group_IT_number 47
_space_group_name_Hall '-P 2 2'
loop_
_atom_site_label
_atom_site_type_symbol
_atom_site_fract_x
_atom_site_fract_y
_atom_site_fract_z
Mg1 Mg 0.0000 0.0000 0.0000
Mg2 Mg 0.5000 0.5000 0.0000
Sc1 Sc 0.0000 0.5000 0.5000
Ag1 Ag 0.5000 0.0000 0.5000
# Final energy (eV for the cell shown): -12.85
# V (Å³ per atom): 20.91
# DOS at the Fermi energy (states/eV/f.u.): 2.855
# Energy relative to the elements (eV per atom): -0.119
# Total magnetization (μB per atom): 0.000

***

7.
# TmThTl PBE relaxed
data_TmThTl
_cell_length_a 8.3877
_cell_length_b 4.4693
_cell_length_c 9.6016
_cell_angle_alpha 90.00
_cell_angle_beta 90.00
_cell_angle_gamma 90.00
_space_group_name_H-M_alt 'P n m a'
_space_group_IT_number 62
_space_group_name_Hall '-P 2ac 2n'
loop_
_atom_site_label
_atom_site_type_symbol
_atom_site_fract_x
_atom_site_fract_y
_atom_site_fract_z
Tm1 Tm 0.1416 0.2500 0.0667
Th1 Th 0.0255 0.2500 0.6592
Tl1 Tl 0.2300 0.7500 0.8611
# Final energy (eV for the cell shown): -58.57
# V (Å³ per atom): 29.99
# DOS at the Fermi energy (states/eV/f.u.): 3.339
# ΔE to the lowest computed polymorph (eV/f.u.): 0.10
# Energy relative to the elements (eV per atom): -0.129
# Total magnetization (μB per atom): 0.000

***

8.
# Ni2IrRh3 PBE relaxed
data_Ni2IrRh3
_cell_length_a 9.1358
_cell_length_b 7.0826
_cell_length_c 5.1082
_cell_angle_alpha 90.00
_cell_angle_beta 93.09
_cell_angle_gamma 90.00
_space_group_name_H-M_alt 'C 1 2/c 1'
_space_group_IT_number 15
_space_group_name_Hall '-C 2yc'
loop_
_atom_site_label
_atom_site_type_symbol
_atom_site_fract_x
_atom_site_fract_y
_atom_site_fract_z
Ni1 Ni 0.1240 0.2498 0.1230
Ir1 Ir 0.0000 0.0579 0.7500
Rh1 Rh 0.0000 0.4369 0.7500
Rh2 Rh 0.2493 0.0605 0.5008
# Final energy (eV for the cell shown): -166.12
# V (Å³ per atom): 13.75
# DOS at the Fermi energy (states/eV/f.u.): 9.075
# ΔE to the lowest computed polymorph (eV/f.u.): 0.72
# Energy relative to the elements (eV per atom): 0.158
# Total magnetization (μB per atom): 0.000

***

9.
# Fe2MoIr PBE relaxed
data_Fe2MoIr
_cell_length_a 4.0510
_cell_length_b 2.6518
_cell_length_c 9.6645
_cell_angle_alpha 90.00
_cell_angle_beta 90.00
_cell_angle_gamma 90.00
_space_group_name_H-M_alt 'A m m 2'
_space_group_IT_number 38
_space_group_name_Hall 'A 2 -2'
loop_
_atom_site_label
_atom_site_type_symbol
_atom_site_fract_x
_atom_site_fract_y
_atom_site_fract_z
Fe1 Fe 0.0000 0.0000 0.0000
Fe2 Fe 0.5000 0.0000 0.1207
Mo1 Mo 0.5000 0.0000 0.3843
Ir1 Ir 0.0000 0.0000 0.7284
# Final energy (eV for the cell shown): -73.24
# V (Å³ per atom): 12.98
# DOS at the Fermi energy (states/eV/f.u.): 4.545
# Energy relative to the elements (eV per atom): -0.001
# Total magnetization (μB per atom): 0.561

***

10.
# Rb3Nd3MnTe8 PBE relaxed
data_Rb3Nd3MnTe8
_cell_length_a 8.9993
_cell_length_b 8.9993
_cell_length_c 26.3286
_cell_angle_alpha 90.00
_cell_angle_beta 90.00
_cell_angle_gamma 120.00
_space_group_name_H-M_alt 'R -3 m'
_space_group_IT_number 166
_space_group_name_Hall '-R 3 2"'
loop_
_atom_site_label
_atom_site_type_symbol
_atom_site_fract_x
_atom_site_fract_y
_atom_site_fract_z
Rb1 Rb 0.0000 0.5000 0.0000
Nd1 Nd 0.0000 0.5000 0.5000
Mn1 Mn 0.0000 0.0000 0.5000
Te1 Te 0.0000 0.0000 0.2358
Te2 Te 0.0375 0.5188 0.2284
# Final energy (eV for the cell shown): -203.11
# V (Å³ per atom): 41.03
# DOS at the Fermi energy (states/eV/f.u.): 1.967
# Formation energy (no corrections) (eV/atom): -1.080
# Total magnetization (μB per atom): 0.202

***

11.
# Li2ScHg PBE relaxed
data_Li2ScHg
_cell_length_a 10.0830
_cell_length_b 3.3032
_cell_length_c 4.9747
_cell_angle_alpha 90.00
_cell_angle_beta 105.70
_cell_angle_gamma 90.00
_space_group_name_H-M_alt 'C 1 2/m 1'
_space_group_IT_number 12
_space_group_name_Hall '-C 2y'
loop_
_atom_site_label
_atom_site_type_symbol
_atom_site_fract_x
_atom_site_fract_y
_atom_site_fract_z
Li1 Li 0.2341 0.0000 0.2200
Sc1 Sc 0.0000 0.0000 0.5000
Hg1 Hg 0.0000 0.5000 0.0000
# Final energy (eV for the cell shown): -22.31
# V (Å³ per atom): 19.94
# DOS at the Fermi energy (states/eV/f.u.): 1.966
# Energy relative to the elements (eV per atom): -0.174
# Total magnetization (μB per atom): 0.000

***

12.
# SrTi2Ni2 PBE relaxed
data_SrTi2Ni2
_cell_length_a 4.2842
_cell_length_b 4.2842
_cell_length_c 10.3741
_cell_angle_alpha 90.00
_cell_angle_beta 90.00
_cell_angle_gamma 90.00
_space_group_name_H-M_alt 'I 4/m m m'
_space_group_IT_number 139
_space_group_name_Hall '-I 4 2'
loop_
_atom_site_label
_atom_site_type_symbol
_atom_site_fract_x
_atom_site_fract_y
_atom_site_fract_z
Sr1 Sr 0.0000 0.0000 0.0000
Ti1 Ti 0.0000 0.5000 0.2500
Ni1 Ni 0.0000 0.0000 0.3738
# Final energy (eV for the cell shown): -58.79
# V (Å³ per atom): 19.04
# DOS at the Fermi energy (states/eV/f.u.): 3.868
# ΔE to the lowest computed polymorph (eV/f.u.): 0.00
# Energy relative to the elements (eV per atom): -0.072
# Total magnetization (μB per atom): 0.000